(1)
The following is a PBE calculation of an optimized crystal structure of UAgSeS2, from Alexandria via LeMat-Bulk.

Unit cell a=3.7686 b=6.9732 c=8.8048 alpha=90.00 beta=90.00 gamma=105.68
Fractional positions:
U 0.2416 0.4832 0.7500
U 0.7584 0.5168 0.2500
Ag 0.0000 0.0000 0.5000
Ag 0.0000 0.0000 0.0000
Se 0.8979 0.7959 0.7500
Se 0.1021 0.2041 0.2500
S 0.6611 0.3221 0.5681
S 0.3389 0.6779 0.4319
S 0.3389 0.6779 0.0681
S 0.6611 0.3221 0.9319

Total magnetic moment: 1.0 μB/f.u.
DOS(E_F): 0.619 states/eV/atom
Formation energy without anion corrections: -0.790 eV per atom
Mass density: 7.3 Mg/m³


(2)
The following is a PBE calculation of an optimized crystal structure of VPt, from Alexandria via LeMat-Bulk.

Unit cell a=9.9554 b=7.9935 c=6.5147 alpha=90.00 beta=90.00 gamma=90.00
Fractional positions:
V 0.0000 0.2934 0.0000
V 0.0000 0.7066 0.0000
V 0.2500 0.4566 0.2500
V 0.2500 0.0434 0.2500
V 0.0000 0.7934 0.5000
V 0.0000 0.2066 0.5000
V 0.2500 0.9566 0.7500
V 0.2500 0.5434 0.7500
V 0.5000 0.2934 0.5000
V 0.5000 0.7066 0.5000
V 0.7500 0.4566 0.7500
V 0.7500 0.0434 0.7500
V 0.5000 0.7934 0.0000
V 0.5000 0.2066 0.0000
V 0.7500 0.9566 0.2500
V 0.7500 0.5434 0.2500
Pt 0.0000 0.0000 0.2067
Pt 0.0000 0.0000 0.7933
Pt 0.2500 0.7500 0.0433
Pt 0.2500 0.7500 0.4567
Pt 0.0000 0.5000 0.7067
Pt 0.0000 0.5000 0.2933
Pt 0.2500 0.2500 0.5433
Pt 0.2500 0.2500 0.9567
Pt 0.5000 0.0000 0.7067
Pt 0.5000 0.0000 0.2933
Pt 0.7500 0.7500 0.5433
Pt 0.7500 0.7500 0.9567
Pt 0.5000 0.5000 0.2067
Pt 0.5000 0.5000 0.7933
Pt 0.7500 0.2500 0.0433
Pt 0.7500 0.2500 0.4567

Total magnetic moment: 0.0 μB/f.u.
DOS(E_F): 1.283 states/eV/atom
Mass density: 12.6 Mg/m³
Energy of formation from the pure elements: 0.01 eV/atom


(3)
The following is a PBE calculation of an optimized crystal structure of Tl2Ag2SnS4, from Alexandria via LeMat-Bulk.

Unit cell a=3.9753 b=7.8207 c=8.0634 alpha=115.56 beta=104.27 gamma=90.00
Fractional positions:
Tl 0.1491 0.5577 0.2982
Tl 0.8509 0.4423 0.7018
Ag 0.6791 0.9328 0.3581
Ag 0.3209 0.0672 0.6419
Sn 0.0000 0.0000 0.0000
S 0.1880 0.1843 0.3760
S 0.8120 0.8157 0.6240
S 0.5016 0.7734 0.0032
S 0.4984 0.2266 0.9968

Total magnetic moment: 0.0 μB/f.u.
Formation energy without anion corrections: -0.241 eV per atom
Mass density: 6.7 Mg/m³


(4)
The following is a PBE calculation of an optimized crystal structure of Cs2PuI5, from Alexandria via LeMat-Bulk.

Unit cell a=9.7569 b=10.2533 c=15.4715 alpha=90.00 beta=90.00 gamma=90.00
Fractional positions:
Cs 0.4219 0.5097 0.8321
Cs 0.5781 0.4903 0.1679
Cs 0.9219 0.4903 0.6679
Cs 0.5781 0.0097 0.1679
Cs 0.0781 0.5097 0.3321
Cs 0.4219 0.9903 0.8321
Cs 0.0781 0.9903 0.3321
Cs 0.9219 0.0097 0.6679
Pu 0.4390 0.2500 0.5021
Pu 0.5610 0.7500 0.4979
Pu 0.9390 0.7500 0.9979
Pu 0.0610 0.2500 0.0021
I 0.1049 0.2500 0.5122
I 0.8951 0.7500 0.4878
I 0.6049 0.7500 0.9878
I 0.3951 0.2500 0.0122
I 0.3376 0.9562 0.5645
I 0.6624 0.0438 0.4355
I 0.8376 0.0438 0.9355
I 0.6624 0.4562 0.4355
I 0.1624 0.9562 0.0645
I 0.3376 0.5438 0.5645
I 0.1624 0.5438 0.0645
I 0.8376 0.4562 0.9355
I 0.1391 0.2500 0.8054
I 0.8609 0.7500 0.1946
I 0.6391 0.7500 0.6946
I 0.3609 0.2500 0.3054
I 0.5950 0.2500 0.6797
I 0.4050 0.7500 0.3203
I 0.0950 0.7500 0.8203
I 0.9050 0.2500 0.1797

Total magnetic moment: 5.0 μB/f.u.
DOS(E_F): 1.714 states/eV/atom
Formation energy without anion corrections: -1.324 eV per atom
Mass density: 4.9 Mg/m³